Entry 1:
# MoAs2Rh (PBE-GGA, relaxed)
# * final energy: -6.89 eV/atom
# * total magnetic moment: 0.00 μB per cell
# * formation energy: -24 meV/atom
data_MoAs2Rh
_chemical_formula_sum 'Mo1 As2 Rh1'
_symmetry_space_group_name_H-M 'P 1'
_symmetry_Int_Tables_number 1
_cell_length_a 5.452
_cell_length_b 5.452
_cell_length_c 5.452
_cell_angle_alpha 146.32
_cell_angle_beta 134.66
_cell_angle_gamma 57.65
loop_
_symmetry_equiv_pos_as_xyz
'x,y,z'
loop_
_atom_site_label
_atom_site_type_symbol
_atom_site_fract_x
_atom_site_fract_y
_atom_site_fract_z
As1 As 0.015 0.015 0.000
As2 As 0.740 0.240 0.500
Rh1 Rh 0.233 0.733 0.500
Mo1 Mo 0.511 0.511 0.000

***

Entry 2:
# MoAsRh2 (PBE-GGA, relaxed)
# * final energy: -7.59 eV/atom
# * total magnetic moment: 0.00 μB per cell
# * formation energy: -48 meV/atom
data_MoAsRh2
_chemical_formula_sum 'Mo1 As1 Rh2'
_symmetry_space_group_name_H-M 'P 1'
_symmetry_Int_Tables_number 1
_cell_length_a 2.948
_cell_length_b 4.499
_cell_length_c 4.476
_cell_angle_alpha 90.00
_cell_angle_beta 90.00
_cell_angle_gamma 90.00
loop_
_symmetry_equiv_pos_as_xyz
'x,y,z'
loop_
_atom_site_label
_atom_site_type_symbol
_atom_site_fract_x
_atom_site_fract_y
_atom_site_fract_z
Rh1 Rh 0.500 0.500 0.000
Rh2 Rh 0.000 0.000 0.000
Mo1 Mo 0.000 0.500 0.500
As1 As 0.500 0.000 0.500

***

Entry 3:
# MoAsRh2 (PBE-GGA, relaxed)
# * final energy: -7.66 eV/atom
# * total magnetic moment: 0.00 μB per cell
# * formation energy: -118 meV/atom
data_MoAsRh2
_chemical_formula_sum 'Mo1 As1 Rh2'
_symmetry_space_group_name_H-M 'P 1'
_symmetry_Int_Tables_number 1
_cell_length_a 2.947
_cell_length_b 2.947
_cell_length_c 6.872
_cell_angle_alpha 90.00
_cell_angle_beta 90.00
_cell_angle_gamma 90.00
loop_
_symmetry_equiv_pos_as_xyz
'x,y,z'
loop_
_atom_site_label
_atom_site_type_symbol
_atom_site_fract_x
_atom_site_fract_y
_atom_site_fract_z
Rh1 Rh 0.000 0.000 0.983
Rh2 Rh 0.500 0.500 0.284
Mo1 Mo 0.500 0.500 0.744
As1 As 0.000 0.000 0.489

***

Entry 4:
# MoAsRh2 (PBE-GGA, relaxed)
# * final energy: -7.70 eV/atom
# * total magnetic moment: 0.00 μB per cell
# * formation energy: -149 meV/atom
data_MoAsRh2
_chemical_formula_sum 'Mo1 As1 Rh2'
_symmetry_space_group_name_H-M 'P 1'
_symmetry_Int_Tables_number 1
_cell_length_a 2.867
_cell_length_b 3.879
_cell_length_c 5.376
_cell_angle_alpha 90.00
_cell_angle_beta 90.00
_cell_angle_gamma 90.00
loop_
_symmetry_equiv_pos_as_xyz
'x,y,z'
loop_
_atom_site_label
_atom_site_type_symbol
_atom_site_fract_x
_atom_site_fract_y
_atom_site_fract_z
Mo1 Mo 0.500 0.500 0.750
Rh1 Rh 0.000 0.000 0.505
Rh2 Rh 0.000 0.000 0.995
As1 As 0.500 0.500 0.250

***

Entry 5:
# MoAsRh (PBE-GGA, relaxed)
# * polymorph energy (0 for the lowest one): 140 meV per atom
# * final energy: -7.55 eV/atom
# * total magnetic moment: 0.00 μB per cell
# * formation energy: 57 meV/atom
data_MoAsRh
_chemical_formula_sum 'Mo1 As1 Rh1'
_symmetry_space_group_name_H-M 'P 1'
_symmetry_Int_Tables_number 1
_cell_length_a 4.222
_cell_length_b 4.222
_cell_length_c 4.222
_cell_angle_alpha 60.00
_cell_angle_beta 60.00
_cell_angle_gamma 60.00
loop_
_symmetry_equiv_pos_as_xyz
'x,y,z'
loop_
_atom_site_label
_atom_site_type_symbol
_atom_site_fract_x
_atom_site_fract_y
_atom_site_fract_z
Rh1 Rh 0.000 0.000 0.000
Mo1 Mo 0.750 0.750 0.750
As1 As 0.500 0.500 0.500

***

Entry 6:
# MoAsRh (PBE-GGA, relaxed)
# * polymorph energy (0 for the lowest one): 0 meV per atom
# * final energy: -7.69 eV/atom
# * total magnetic moment: 0.00 μB per cell
# * formation energy: -83 meV/atom
data_MoAsRh
_chemical_formula_sum 'Mo1 As1 Rh1'
_symmetry_space_group_name_H-M 'P 1'
_symmetry_Int_Tables_number 1
_cell_length_a 5.378
_cell_length_b 5.378
_cell_length_c 3.031
_cell_angle_alpha 73.63
_cell_angle_beta 73.64
_cell_angle_gamma 32.73
loop_
_symmetry_equiv_pos_as_xyz
'x,y,z'
loop_
_atom_site_label
_atom_site_type_symbol
_atom_site_fract_x
_atom_site_fract_y
_atom_site_fract_z
As1 As 0.995 0.995 0.005
Rh1 Rh 0.661 0.661 0.339
Mo1 Mo 0.344 0.344 0.656

***

Entry 7:
# MoAs2Rh (PBE-GGA, relaxed)
# * final energy: -6.72 eV/atom
# * total magnetic moment: 0.00 μB per cell
# * formation energy: 151 meV/atom
data_MoAs2Rh
_chemical_formula_sum 'Mo1 As2 Rh1'
_symmetry_space_group_name_H-M 'P 1'
_symmetry_Int_Tables_number 1
_cell_length_a 3.017
_cell_length_b 3.017
_cell_length_c 7.790
_cell_angle_alpha 90.00
_cell_angle_beta 90.00
_cell_angle_gamma 113.97
loop_
_symmetry_equiv_pos_as_xyz
'x,y,z'
loop_
_atom_site_label
_atom_site_type_symbol
_atom_site_fract_x
_atom_site_fract_y
_atom_site_fract_z
Mo1 Mo 0.500 0.500 0.250
As1 As 0.000 0.000 0.504
As2 As 0.000 0.000 0.996
Rh1 Rh 0.500 0.500 0.750

***

Entry 8:
# MoAsRh2 (PBE-GGA, relaxed)
# * final energy: -7.72 eV/atom
# * total magnetic moment: 0.00 μB per cell
# * formation energy: -174 meV/atom
data_MoAsRh2
_chemical_formula_sum 'Mo1 As1 Rh2'
_symmetry_space_group_name_H-M 'P 1'
_symmetry_Int_Tables_number 1
_cell_length_a 5.049
_cell_length_b 5.049
_cell_length_c 5.049
_cell_angle_alpha 142.75
_cell_angle_beta 130.19
_cell_angle_gamma 63.81
loop_
_symmetry_equiv_pos_as_xyz
'x,y,z'
loop_
_atom_site_label
_atom_site_type_symbol
_atom_site_fract_x
_atom_site_fract_y
_atom_site_fract_z
Mo1 Mo 0.250 0.750 0.500
Rh1 Rh 0.975 0.975 0.000
Rh2 Rh 0.525 0.525 0.000
As1 As 0.750 0.250 0.500